Entry 1:
The following is a DFT calculation (PBE) of an optimized crystal structure of HoErLuTl.

The formation energy is -0.023 eV per atom. Its crystal system is cubic.

The structure in CIF format:
```
data_HoErLuTl
_cell_length_a 7.651
_cell_length_b 7.651
_cell_length_c 7.651
_cell_angle_alpha 90.00
_cell_angle_beta 90.00
_cell_angle_gamma 90.00
_space_group_name_H-M_alt 'F -4 3 m'
_space_group_IT_number 216
_space_group_name_Hall 'F -4 2 3'
loop_
_atom_site_label
_atom_site_fract_x
_atom_site_fract_y
_atom_site_fract_z
_atom_site_occupancy
Ho1 0.000 0.000 0.000 1
Er1 0.000 0.000 0.500 1
Lu1 0.250 0.250 0.250 1
Tl1 0.250 0.250 0.750 1
```

***

Entry 2:
The following is a DFT calculation (PBE) of an optimized crystal structure of FeNi2As2.

The formation energy is -0.157 eV per atom. Its crystal system is orthorhombic.

The structure in CIF format:
```
data_FeNi2As2
_cell_length_a 6.996
_cell_length_b 10.448
_cell_length_c 6.055
_cell_angle_alpha 90.00
_cell_angle_beta 90.00
_cell_angle_gamma 90.00
_space_group_name_H-M_alt 'I m m 2'
_space_group_IT_number 44
loop_
_space_group_symop_operation_xyz
'x,y,z'
'-x,-y,z'
'-x,y,z'
'x,-y,z'
'x+1/2,y+1/2,z+1/2'
'-x+1/2,-y+1/2,z+1/2'
'-x+1/2,y+1/2,z+1/2'
'x+1/2,-y+1/2,z+1/2'
loop_
_atom_site_label
_atom_site_fract_x
_atom_site_fract_y
_atom_site_fract_z
_atom_site_occupancy
Fe1 0.000 0.000 0.000 1
Fe2 0.000 0.292 0.097 1
Ni1 0.247 0.000 0.652 1
Ni2 0.250 0.127 0.270 1
As1 0.000 0.000 0.401 1
As2 0.000 0.500 0.899 1
As3 0.250 0.166 0.898 1
```

***

Entry 3:
The following is a DFT calculation (PBE) of an optimized crystal structure of MgBrO2.

The formation energy (no corrections) is -86.2 kJ/mol of atoms. Its crystal system is tetragonal.

The structure in CIF format:
```
data_MgBrO2
_cell_length_a 4.383
_cell_length_b 4.383
_cell_length_c 10.713
_cell_angle_alpha 90.00
_cell_angle_beta 90.00
_cell_angle_gamma 90.00
_space_group_name_H-M_alt 'I 41/a m d'
_space_group_IT_number 141
loop_
_space_group_symop_operation_xyz
'x,y,z'
'-x,-y,-z'
'-y+1/4,x+3/4,z+1/4'
'y+1/4,-x+3/4,-z+1/4'
'-x+1/2,-y,z+1/2'
'x+1/2,y,-z+1/2'
'y+1/4,-x+1/4,z+3/4'
'-y+1/4,x+1/4,-z+3/4'
'x,-y,-z'
'-x,y,z'
'-y+1/4,-x+1/4,-z+3/4'
'y+1/4,x+1/4,z+3/4'
'-x+1/2,y,-z+1/2'
'x+1/2,-y,z+1/2'
'y+1/4,x+3/4,-z+1/4'
'-y+1/4,-x+3/4,z+1/4'
'x+1/2,y+1/2,z+1/2'
'-x+1/2,-y+1/2,-z+1/2'
'-y+3/4,x+1/4,z+3/4'
'y+3/4,-x+1/4,-z+3/4'
'-x,-y+1/2,z'
'x,y+1/2,-z'
'y+3/4,-x+3/4,z+1/4'
'-y+3/4,x+3/4,-z+1/4'
'x+1/2,-y+1/2,-z+1/2'
'-x+1/2,y+1/2,z+1/2'
'-y+3/4,-x+3/4,-z+1/4'
'y+3/4,x+3/4,z+1/4'
'-x,y+1/2,-z'
'x,-y+1/2,z'
'y+3/4,x+1/4,-z+3/4'
'-y+3/4,-x+1/4,z+3/4'
loop_
_atom_site_label
_atom_site_fract_x
_atom_site_fract_y
_atom_site_fract_z
_atom_site_occupancy
Mg1 0.000 0.250 0.375 1
Br1 0.000 0.250 0.875 1
O1 0.000 0.250 0.163 1
```

***

Entry 4:
The following is a DFT calculation (PBE) of an optimized crystal structure of Tc2TeRh.

The formation energy (no corrections) is 25.4 kJ/mol of atoms. Its crystal system is orthorhombic.

The structure in CIF format:
```
data_Tc2TeRh
_cell_length_a 3.019
_cell_length_b 3.784
_cell_length_c 5.762
_cell_angle_alpha 90.00
_cell_angle_beta 90.00
_cell_angle_gamma 90.00
_space_group_name_H-M_alt 'P m m 2'
_space_group_IT_number 25
loop_
_space_group_symop_operation_xyz
'x,y,z'
'-x,-y,z'
'-x,y,z'
'x,-y,z'
loop_
_atom_site_label
_atom_site_fract_x
_atom_site_fract_y
_atom_site_fract_z
_atom_site_occupancy
Tc1 0.000 0.000 0.000 1
Tc2 0.500 0.500 0.193 1
Te1 0.000 0.000 0.493 1
Rh1 0.500 0.500 0.733 1
```

***

Entry 5:
The following is a DFT calculation (PBE) of an optimized crystal structure of Na2MnZn2Se4.

The formation energy (no corrections) is -70.2 kJ/mol of atoms. Its crystal system is monoclinic.

The structure in CIF format:
```
data_Na2MnZn2Se4
_cell_length_a 15.306
_cell_length_b 3.922
_cell_length_c 7.476
_cell_angle_alpha 90.00
_cell_angle_beta 112.67
_cell_angle_gamma 90.00
_space_group_name_H-M_alt 'C 1 2/m 1'
_space_group_IT_number 12
loop_
_space_group_symop_operation_xyz
'x,y,z'
'-x,-y,-z'
'-x,y,-z'
'x,-y,z'
'x+1/2,y+1/2,z'
'-x+1/2,-y+1/2,-z'
'-x+1/2,y+1/2,-z'
'x+1/2,-y+1/2,z'
loop_
_atom_site_label
_atom_site_fract_x
_atom_site_fract_y
_atom_site_fract_z
_atom_site_occupancy
Na1 0.120 0.000 0.039 1
Mn1 0.000 0.000 0.500 1
Zn1 0.171 0.500 0.483 1
Se1 0.008 0.500 0.260 1
Se2 0.218 0.000 0.708 1
```

***

Entry 6:
The following is a DFT calculation (PBE) of an optimized crystal structure of BiAsC.

The formation energy is 0.627 eV per atom. Its crystal system is monoclinic.

The structure in CIF format:
```
data_BiAsC
_cell_length_a 6.091
_cell_length_b 4.174
_cell_length_c 6.508
_cell_angle_alpha 90.00
_cell_angle_beta 90.82
_cell_angle_gamma 90.00
_space_group_name_H-M_alt 'P 1 m 1'
_space_group_IT_number 6
loop_
_space_group_symop_operation_xyz
'x,y,z'
'x,-y,z'
loop_
_atom_site_label
_atom_site_fract_x
_atom_site_fract_y
_atom_site_fract_z
_atom_site_occupancy
Bi1 0.000 0.000 0.000 1
Bi2 0.197 0.500 0.295 1
As1 0.329 0.000 0.707 1
As2 0.557 0.500 0.830 1
C1 0.744 0.500 0.601 1
C2 0.885 0.500 0.466 1
```

***

Entry 7:
The following is a DFT calculation (PBE) of an optimized crystal structure of K2TcPb.

The formation energy is 0.883 eV per atom. Its crystal system is tetragonal.

The structure in CIF format:
```
data_K2TcPb
_cell_length_a 12.584
_cell_length_b 12.584
_cell_length_c 5.314
_cell_angle_alpha 90.00
_cell_angle_beta 90.00
_cell_angle_gamma 90.00
_space_group_name_H-M_alt 'I -4 2 d'
_space_group_IT_number 122
_space_group_name_Hall 'I -4 2bw'
loop_
_atom_site_label
_atom_site_fract_x
_atom_site_fract_y
_atom_site_fract_z
_atom_site_occupancy
K1 0.082 0.750 0.125 1
Tc1 0.000 0.000 0.000 1
Pb1 0.000 0.000 0.500 1
```

***

Entry 8:
The following is a DFT calculation (PBE) of an optimized crystal structure of AcPmNd2.

The formation energy is 0.145 eV per atom. Its crystal system is cubic.

The structure in CIF format:
```
data_AcPmNd2
_cell_length_a 8.430
_cell_length_b 8.430
_cell_length_c 8.430
_cell_angle_alpha 90.00
_cell_angle_beta 90.00
_cell_angle_gamma 90.00
_space_group_name_H-M_alt 'F m -3 m'
_space_group_IT_number 225
_space_group_name_Hall '-F 4 2 3'
loop_
_atom_site_label
_atom_site_fract_x
_atom_site_fract_y
_atom_site_fract_z
_atom_site_occupancy
Ac1 0.000 0.000 0.000 1
Pm1 0.000 0.000 0.500 1
Nd1 0.250 0.250 0.250 1
```

***

Entry 9:
The following is a DFT calculation (PBE) of an optimized crystal structure of NaTaZn.

The formation energy is 0.516 eV per atom. Its crystal system is tetragonal.

The structure in CIF format:
```
data_NaTaZn
_cell_length_a 3.512
_cell_length_b 3.512
_cell_length_c 11.268
_cell_angle_alpha 90.00
_cell_angle_beta 90.00
_cell_angle_gamma 90.00
_space_group_name_H-M_alt 'P 4/n m m'
_space_group_IT_number 129
loop_
_space_group_symop_operation_xyz
'x,y,z'
'-x,-y,-z'
'-y+1/2,x,z'
'y+1/2,-x,-z'
'-x+1/2,-y+1/2,z'
'x+1/2,y+1/2,-z'
'y,-x+1/2,z'
'-y,x+1/2,-z'
'x+1/2,-y,-z'
'-x+1/2,y,z'
'-y,-x,-z'
'y,x,z'
'-x,y+1/2,-z'
'x,-y+1/2,z'
'y+1/2,x+1/2,-z'
'-y+1/2,-x+1/2,z'
loop_
_atom_site_label
_atom_site_fract_x
_atom_site_fract_y
_atom_site_fract_z
_atom_site_occupancy
Na1 0.250 0.250 0.245 1
Ta1 0.250 0.250 0.545 1
Zn1 0.250 0.750 0.000 1
```

***

Entry 10:
The following is a DFT calculation (PBE) of an optimized crystal structure of Rb3Ca5F12.

The formation energy (no corrections) is -326.3 kJ/mol of atoms. Its crystal system is cubic.

The structure in CIF format:
```
data_Rb3Ca5F12
_cell_length_a 14.964
_cell_length_b 14.964
_cell_length_c 14.964
_cell_angle_alpha 90.00
_cell_angle_beta 90.00
_cell_angle_gamma 90.00
_space_group_name_H-M_alt 'I a -3 d'
_space_group_IT_number 230
_space_group_name_Hall '-I 4bd 2c 3'
loop_
_atom_site_label
_atom_site_fract_x
_atom_site_fract_y
_atom_site_fract_z
_atom_site_occupancy
Rb1 0.000 0.250 0.125 1
Ca1 0.000 0.000 0.000 1
Ca2 0.000 0.250 0.375 1
F1 0.031 0.041 0.645 1
```

***

Entry 11:
The following is a DFT calculation (PBE) of an optimized crystal structure of TiGeRu.

The formation energy is -0.675 eV per atom. Its crystal system is orthorhombic.

The structure in CIF format:
```
data_TiGeRu
_cell_length_a 7.231
_cell_length_b 11.392
_cell_length_c 6.604
_cell_angle_alpha 90.00
_cell_angle_beta 90.00
_cell_angle_gamma 90.00
_space_group_name_H-M_alt 'I m a 2'
_space_group_IT_number 46
loop_
_space_group_symop_operation_xyz
'x,y,z'
'-x,-y,z'
'-x+1/2,y,z'
'x+1/2,-y,z'
'x+1/2,y+1/2,z+1/2'
'-x+1/2,-y+1/2,z+1/2'
'-x,y+1/2,z+1/2'
'x,-y+1/2,z+1/2'
loop_
_atom_site_label
_atom_site_fract_x
_atom_site_fract_y
_atom_site_fract_z
_atom_site_occupancy
Ti1 0.250 0.002 0.000 1
Ti2 0.250 0.227 0.651 1
Ti3 0.250 0.694 0.117 1
Ge1 0.006 0.667 0.420 1
Ge2 0.250 0.037 0.410 1
Ru1 0.000 0.000 0.669 1
Ru2 0.040 0.626 0.792 1
```

***

Entry 12:
The following is a DFT calculation (PBE) of an optimized crystal structure of Ba2TbMg3H12.

Its crystal system is trigonal. The final energy comes out at -3.28 eV/atom.

The structure in CIF format:
```
data_Ba2TbMg3H12
_cell_length_a 6.9565
_cell_length_b 6.9565
_cell_length_c 16.3052
_cell_angle_alpha 90.00
_cell_angle_beta 90.00
_cell_angle_gamma 120.00
_space_group_name_H-M_alt 'R -3 m'
_space_group_IT_number 166
_space_group_name_Hall '-R 3 2"'
loop_
_atom_site_label
_atom_site_fract_x
_atom_site_fract_y
_atom_site_fract_z
_atom_site_occupancy
Ba1 0.0000 0.0000 0.1142 1
Tb1 0.0000 0.0000 0.5000 1
Mg1 0.0000 0.5000 0.0000 1
H1 0.0248 0.5124 0.8808 1
H2 0.0730 0.5365 0.2993 1
```